First-principles (PBEsol) data for a relaxed structure of Sc11Ir4, as listed in Alexandria.

Structure (POSCAR):
```
Sc11Ir4
1.0
0.000 6.605 6.605
6.605 0.000 6.605
6.605 6.605 0.000
Sc Ir
22 8
Direct
0.147 0.618 0.618
0.157 0.157 0.157
0.157 0.157 0.530
0.157 0.530 0.157
0.199 0.199 0.801
0.199 0.801 0.199
0.199 0.801 0.801
0.382 0.382 0.382
0.382 0.382 0.853
0.382 0.853 0.382
0.470 0.843 0.843
0.530 0.157 0.157
0.618 0.147 0.618
0.618 0.618 0.147
0.618 0.618 0.618
0.801 0.199 0.199
0.801 0.199 0.801
0.801 0.801 0.199
0.843 0.470 0.843
0.843 0.843 0.470
0.843 0.843 0.843
0.853 0.382 0.382
0.000 0.000 0.000
0.000 0.000 0.500
0.000 0.500 0.000
0.000 0.500 0.500
0.500 0.000 0.000
0.500 0.000 0.500
0.500 0.500 0.000
0.500 0.500 0.500
```

Output
Energy = -8.142 eV per atom
Symmetry = Fm-3m (225)
Formation energy = -65 kJ/mol of atoms